# Ga2AgPt3 PBE optimized geometry
# Crystal system: tetragonal
# Total magnetization (μB/f.u.): 0.00
# ΔH_f (0 K) (eV/atom): -0.424
data_Ga2AgPt3
_space_group_name_H-M_alt 'P 1'
_space_group_IT_number 1
_cell_length_a 2.9025
_cell_length_b 2.9025
_cell_length_c 11.1672
_cell_angle_alpha 90.00
_cell_angle_beta 90.00
_cell_angle_gamma 90.00
loop_
_space_group_symop_operation_xyz
'x,y,z'
loop_
_atom_site_label
_atom_site_type_symbol
_atom_site_fract_x
_atom_site_fract_y
_atom_site_fract_z
Ga1 Ga 0.5000 0.5000 0.8348
Ga2 Ga 0.5000 0.5000 0.1652
Ag1 Ag 0.5000 0.5000 0.5000
Pt1 Pt 0.0000 0.0000 0.0000
Pt2 Pt 0.0000 0.0000 0.6896
Pt3 Pt 0.0000 0.0000 0.3104

***

# Ga6AgPt PBE optimized geometry
# Crystal system: monoclinic
# Total magnetization (μB/f.u.): 0.00
# ΔH_f (0 K) (eV/atom): -0.122
data_Ga6AgPt
_space_group_name_H-M_alt 'P 1'
_space_group_IT_number 1
_cell_length_a 7.1105
_cell_length_b 6.8364
_cell_length_c 5.4652
_cell_angle_alpha 51.28
_cell_angle_beta 65.63
_cell_angle_gamma 48.72
loop_
_space_group_symop_operation_xyz
'x,y,z'
loop_
_atom_site_label
_atom_site_type_symbol
_atom_site_fract_x
_atom_site_fract_y
_atom_site_fract_z
Ga1 Ga 0.7730 0.5899 0.5077
Ga2 Ga 0.7730 0.0975 0.4923
Ga3 Ga 0.2270 0.9025 0.5077
Ga4 Ga 0.2270 0.4101 0.4923
Ga5 Ga 0.6884 0.7092 0.0000
Ga6 Ga 0.3116 0.2908 0.0000
Ag1 Ag 0.0000 0.0000 0.0000
Pt1 Pt 0.5000 0.5000 0.0000

***

# GaAgPt2 PBE optimized geometry
# Crystal system: tetragonal
# Total magnetization (μB/f.u.): 0.00
# ΔH_f (0 K) (eV/atom): -0.395
data_GaAgPt2
_space_group_name_H-M_alt 'P 1'
_space_group_IT_number 1
_cell_length_a 2.9239
_cell_length_b 2.9239
_cell_length_c 7.4130
_cell_angle_alpha 90.00
_cell_angle_beta 90.00
_cell_angle_gamma 90.00
loop_
_space_group_symop_operation_xyz
'x,y,z'
loop_
_atom_site_label
_atom_site_type_symbol
_atom_site_fract_x
_atom_site_fract_y
_atom_site_fract_z
Ga1 Ga 0.5000 0.5000 0.0000
Ag1 Ag 0.5000 0.5000 0.5000
Pt1 Pt 0.0000 0.0000 0.7808
Pt2 Pt 0.0000 0.0000 0.2192

***

Q: ΔH_f (0 K) of number 3 (GaAgPt2)?
A: -0.395 eV/atom